# 1
First-principles (PBE) data for Pm3Al4Zn4 after structural relaxation, as listed in Alexandria via LeMat-Bulk.

Calculated volume = 235.8 Å³ per cell
Uncorrected energy = -3.383 eV per atom
Energy of formation = -25.39 kJ per mole of atoms
DOS(E_F) = 0.3079 states/eV/atom

Lattice parameters (Å, degrees): 6.7414 6.7414 6.7414 109.47 109.47 109.47
Sites, in units of the cell vectors:
Zn: 0.6192 0.0000 0.0000
Zn: 0.0000 0.0000 0.6192
Zn: 0.0000 0.6192 0.0000
Zn: 0.3808 0.3808 0.3808
Al: 0.0000 0.0000 0.2600
Al: 0.0000 0.2600 0.0000
Al: 0.2600 0.0000 0.0000
Al: 0.7400 0.7400 0.7400
Pm: 0.5000 0.5000 0.0000
Pm: 0.0000 0.5000 0.5000
Pm: 0.5000 0.0000 0.5000

=====

# 2
First-principles (PBE) data for PmAlZn5 after structural relaxation, as listed in Alexandria via LeMat-Bulk.

Calculated volume = 485.0 Å³ per cell
Uncorrected energy = -2.367 eV per atom
Energy of formation = -23.53 kJ per mole of atoms
DOS(E_F) = 0.2761 states/eV/atom

Lattice parameters (Å, degrees): 5.1653 8.7659 10.7107 90.00 90.00 90.00
Sites, in units of the cell vectors:
Zn: 0.0096 0.5660 0.8080
Zn: 0.2500 0.1976 0.2513
Zn: 0.2500 0.9516 0.0933
Zn: 0.9904 0.4340 0.1920
Zn: 0.4904 0.5660 0.8080
Zn: 0.2500 0.4516 0.4067
Zn: 0.5096 0.9340 0.3080
Zn: 0.4904 0.0660 0.6920
Zn: 0.7500 0.5484 0.5933
Zn: 0.0096 0.0660 0.6920
Zn: 0.2500 0.0807 0.4788
Zn: 0.5096 0.4340 0.1920
Zn: 0.7500 0.3024 0.7513
Zn: 0.9904 0.9340 0.3080
Zn: 0.2500 0.5807 0.0212
Zn: 0.7500 0.8024 0.7487
Zn: 0.7500 0.0484 0.9067
Zn: 0.7500 0.4193 0.9788
Zn: 0.2500 0.6976 0.2487
Zn: 0.7500 0.9193 0.5212
Pm: 0.2500 0.2370 0.9400
Pm: 0.7500 0.7630 0.0600
Pm: 0.7500 0.2630 0.4400
Pm: 0.2500 0.7370 0.5600
Al: 0.2500 0.8600 0.8539
Al: 0.7500 0.6400 0.3539
Al: 0.7500 0.1400 0.1461
Al: 0.2500 0.3600 0.6461

=====

# 3
First-principles (PBE) data for PmAlZn3 after structural relaxation, as listed in Alexandria via LeMat-Bulk.

Calculated volume = 95.9 Å³ per cell
Uncorrected energy = -2.819 eV per atom
Energy of formation = -34.32 kJ per mole of atoms
DOS(E_F) = 0.4897 states/eV/atom

Lattice parameters (Å, degrees): 4.2962 4.2972 6.0044 69.29 69.28 90.17
Sites, in units of the cell vectors:
Al: 0.0194 0.8227 0.6675
Zn: 0.6526 0.9564 0.3997
Zn: 0.1527 0.4558 0.3998
Zn: 0.7808 0.5845 0.1419
Pm: 0.4023 0.2057 0.9022

=====

# 4
First-principles (PBE) data for PmAlZn4 after structural relaxation, as listed in Alexandria via LeMat-Bulk.

Calculated volume = 111.1 Å³ per cell
Uncorrected energy = -2.380 eV per atom
Energy of formation = -11.11 kJ per mole of atoms
DOS(E_F) = 0.4061 states/eV/atom

Lattice parameters (Å, degrees): 5.3956 5.3956 5.3956 60.00 60.00 60.00
Sites, in units of the cell vectors:
Zn: 0.6253 0.1242 0.6253
Zn: 0.6253 0.6253 0.6253
Zn: 0.1242 0.6253 0.6253
Zn: 0.6253 0.6253 0.1242
Al: 0.0000 0.0000 0.0000
Pm: 0.2500 0.2500 0.2500